(1)
Below is a geometry-optimized Hf3TlRe2 structure, with properties calculated at the PBE level.

Cell lengths 3.350, 3.350, 10.322 Å; angles 90.00, 90.00, 90.00 degrees
Atoms (fractional coordinates):
Hf1 0.000 0.000 0.000
Hf2 0.000 0.000 0.304
Hf3 0.000 0.000 0.696
Tl1 0.500 0.500 0.500
Re1 0.500 0.500 0.162
Re2 0.500 0.500 0.838

Output
The value obtained for the formation energy from the elements is -0.25 eV/atom.

(2)
Below is a geometry-optimized Li2Zn4Ni3 structure, with properties calculated at the PBE level.

Cell lengths 4.141, 4.141, 7.519 Å; angles 90.23, 90.23, 59.86 degrees
Atoms (fractional coordinates):
Li1 0.167 0.167 0.225
Li2 0.833 0.833 0.775
Zn1 0.166 0.166 0.889
Zn2 0.499 0.499 0.664
Zn3 0.501 0.501 0.336
Zn4 0.834 0.834 0.111
Ni1 0.166 0.166 0.552
Ni2 0.500 0.500 0.000
Ni3 0.834 0.834 0.448

Output
The value obtained for the formation energy from the elements is -0.21 eV/atom.

(3)
Below is a geometry-optimized Li3Pr2Mg12Cd structure, with properties calculated at the PBE level.

Cell lengths 7.793, 7.793, 7.793 Å; angles 83.62, 83.62, 83.62 degrees
Atoms (fractional coordinates):
Li1 0.000 0.500 0.500
Li2 0.500 0.000 0.500
Li3 0.500 0.500 0.000
Pr1 0.119 0.119 0.119
Pr2 0.881 0.881 0.881
Mg1 0.117 0.117 0.563
Mg2 0.117 0.563 0.117
Mg3 0.214 0.690 0.690
Mg4 0.310 0.310 0.786
Mg5 0.310 0.786 0.310
Mg6 0.437 0.883 0.883
Mg7 0.563 0.117 0.117
Mg8 0.690 0.214 0.690
Mg9 0.690 0.690 0.214
Mg10 0.786 0.310 0.310
Mg11 0.883 0.437 0.883
Mg12 0.883 0.883 0.437
Cd1 0.500 0.500 0.500

Output
The value obtained for the formation energy from the elements is 0.12 eV/atom.